TlCdNF2: relaxed, GGA-PBEsol.

The calculation puts the energy relative to the elements, uncorrected at -0.55 eV/atom. The value obtained for the total energy is -3.7884 eV/atom. Its space group is P4/mmm (123).

a = 4.4808 Å, b = 4.4808 Å, c = 4.3334 Å
α = 90.00°, β = 90.00°, γ = 90.00°
Atoms (fractional coordinates):
Tl (0.0000, 0.0000, 0.0000)
Cd (0.5000, 0.5000, 0.5000)
N (0.5000, 0.5000, 0.0000)
F (0.0000, 0.5000, 0.5000)
F (0.5000, 0.0000, 0.5000)

Y2CdNF: relaxed, GGA-PBEsol.

The calculation puts the energy relative to the elements, uncorrected at -0.84 eV/atom. The value obtained for the total energy is -5.9011 eV/atom. Its space group is P4/mmm (123).

a = 4.4783 Å, b = 4.4783 Å, c = 5.3043 Å
α = 90.00°, β = 90.00°, γ = 90.00°
Atoms (fractional coordinates):
Y (0.0000, 0.5000, 0.0000)
Y (0.5000, 0.0000, 0.0000)
Cd (0.0000, 0.0000, 0.5000)
N (0.5000, 0.5000, 0.0000)
F (0.5000, 0.5000, 0.5000)

YCdN2F: relaxed, GGA-PBEsol.

The calculation puts the energy relative to the elements, uncorrected at -0.30 eV/atom. The value obtained for the total energy is -5.7014 eV/atom. Its space group is P4/mmm (123).

a = 4.3791 Å, b = 4.3791 Å, c = 4.1970 Å
α = 90.00°, β = 90.00°, γ = 90.00°
Atoms (fractional coordinates):
Y (0.0000, 0.0000, 0.0000)
Cd (0.5000, 0.5000, 0.5000)
N (0.0000, 0.5000, 0.0000)
N (0.5000, 0.0000, 0.0000)
F (0.0000, 0.0000, 0.5000)